DFT (PBE+U) results for a relaxed Mn2FeIrO6 crystal.

Computed properties:
The magnetic moment is 0.899 μB per atom. As for the space-group type: No. 1. For the total energy, the calculation gives -7.035 eV per atom. The density of states at the Fermi level is 0.2915 states/eV/atom.

Unit cell a=5.1599 b=5.1811 c=5.5394 alpha=62.96 beta=62.91 gamma=60.98
Site moments in Bohr magnetons follow the coordinates.
Atoms (fractional coordinates):
Fe (0.8152, 0.8097, 0.5661)  1.86
Ir (0.3222, 0.3237, 0.0343)  -0.73
O (0.4146, 0.7134, 0.7571)  -0.09
O (0.9320, 0.6063, 0.2442)  -0.12
O (0.5944, 0.2248, 0.2473)  -0.17
O (0.7220, 0.1079, 0.7638)  -0.09
O (0.2089, 0.9350, 0.2475)  -0.13
O (0.1164, 0.4049, 0.7612)  -0.12
Mn (0.5203, 0.5253, 0.4329)  4.33
Mn (0.0155, 0.0106, 0.9608)  4.08